Entry 1:
Tb5Cd2Ir2: optimized geometry, PBE.

Lattice parameters (Å, degrees): 7.7229 7.5310 8.8940 115.05 90.00 90.00
Positions (direct):
Ir: 0.1322 0.6301 0.0000
Ir: 0.3678 0.1301 0.0000
Ir: 0.6322 0.8699 0.0000
Ir: 0.8678 0.3699 0.0000
Tb: 0.3268 0.9461 0.2361
Tb: 0.1732 0.4461 0.2361
Tb: 0.8268 0.7900 0.2361
Tb: 0.8268 0.5539 0.7639
Tb: 0.6732 0.0539 0.7639
Tb: 0.6732 0.2900 0.2361
Tb: 0.3268 0.7100 0.7639
Tb: 0.5000 0.5000 0.0000
Tb: 0.0000 0.0000 0.0000
Tb: 0.1732 0.2100 0.7639
Cd: 0.0000 0.2169 0.4337
Cd: 0.5000 0.7169 0.4337
Cd: 0.5000 0.2831 0.5663
Cd: 0.0000 0.7831 0.5663

Values from the calculation:
The raw total energy is -5.30 eV/atom. The magnetization comes out at 0.00 μB per formula unit.

=====

Entry 2:
Tb6Cd2Ir: optimized geometry, PBE.

Lattice parameters (Å, degrees): 6.9529 7.3820 10.4657 90.00 89.28 90.00
Positions (direct):
Tb: 0.8985 0.9962 0.2476
Tb: 0.3060 0.8136 0.0436
Tb: 0.6015 0.4962 0.2524
Tb: 0.1015 0.0038 0.7524
Tb: 0.3985 0.5038 0.7476
Tb: 0.3239 0.8025 0.4600
Tb: 0.6761 0.1975 0.5400
Tb: 0.1940 0.3136 0.4564
Tb: 0.8239 0.6975 0.9600
Tb: 0.1761 0.3025 0.0400
Tb: 0.8060 0.6864 0.5436
Tb: 0.6940 0.1864 0.9564
Cd: 0.5448 0.9117 0.7503
Cd: 0.4552 0.0883 0.2497
Cd: 0.0448 0.5883 0.2503
Cd: 0.9552 0.4117 0.7497
Ir: 0.5000 0.5000 0.0000
Ir: 0.0000 0.0000 0.5000

Values from the calculation:
The raw total energy is -4.55 eV/atom. The magnetization comes out at 0.00 μB per formula unit.

=====

Entry 3:
Tb8CdIr2: optimized geometry, PBE.

Lattice parameters (Å, degrees): 5.5176 7.9432 7.9432 113.39 97.20 97.20
Positions (direct):
Ir: 0.5000 0.6942 0.3121
Ir: 0.5000 0.3121 0.6942
Tb: 0.4230 0.9341 0.6740
Tb: 0.4230 0.6740 0.9341
Tb: 0.5767 0.0720 0.3322
Tb: 0.9999 0.7538 0.2520
Tb: 0.5767 0.3322 0.0720
Tb: 0.8007 0.6178 0.6178
Tb: 0.9999 0.2520 0.7538
Tb: 0.1995 0.3886 0.3886
Cd: 0.0001 0.0032 0.0032

Values from the calculation:
The raw total energy is -5.43 eV/atom. The magnetization comes out at 0.00 μB per formula unit.

=====

Entry 4:
Tb6CdIr5: optimized geometry, PBE.

Lattice parameters (Å, degrees): 4.8663 7.1554 7.7123 90.00 108.42 90.00
Positions (direct):
Tb: 0.5000 0.2641 0.0000
Tb: 0.8283 0.7458 0.6560
Tb: 0.1717 0.2542 0.3440
Tb: 0.8283 0.2542 0.6560
Tb: 0.5000 0.7359 0.0000
Tb: 0.1717 0.7458 0.3440
Ir: 0.6603 0.0000 0.3222
Ir: 0.6680 0.5000 0.3363
Ir: 0.3320 0.5000 0.6637
Ir: 0.0000 0.5000 0.0000
Ir: 0.3397 0.0000 0.6778
Cd: 0.0000 0.0000 0.0000

Values from the calculation:
The raw total energy is -6.79 eV/atom. The magnetization comes out at 0.00 μB per formula unit.

=====

Entry 5:
TbZnCdIr: optimized geometry, PBE.

Lattice parameters (Å, degrees): 4.7934 4.7934 4.7934 60.00 60.00 60.00
Positions (direct):
Tb: 0.2500 0.2500 0.2500
Zn: 0.5000 0.5000 0.5000
Ir: 0.0000 0.0000 0.0000
Cd: 0.7500 0.7500 0.7500

Values from the calculation:
The raw total energy is -4.20 eV/atom. The magnetization comes out at 0.00 μB per formula unit.

=====

Entry 6:
TbZrCdIr: optimized geometry, PBE.

Lattice parameters (Å, degrees): 4.9311 4.9311 4.9311 60.00 60.00 60.00
Positions (direct):
Ir: 0.2500 0.2500 0.2500
Cd: 0.7500 0.7500 0.7500
Tb: 0.5000 0.5000 0.5000
Zr: 0.0000 0.0000 0.0000

Values from the calculation:
The raw total energy is -6.12 eV/atom. The magnetization comes out at 0.00 μB per formula unit.

=====

Entry 7:
Cd2TcIr: optimized geometry, PBE.

Lattice parameters (Å, degrees): 5.6569 5.6569 5.6569 150.38 129.22 59.90
Positions (direct):
Ir: 0.7500 0.2500 0.5000
Cd: 0.5056 0.5056 0.0000
Cd: 0.9944 0.9944 0.0000
Tc: 0.2500 0.7500 0.5000

Values from the calculation:
As for the energy above the most stable polymorph in this dataset: 0.377 eV per atom. The magnetization comes out at 0.71 μB per formula unit.

=====

Entry 8:
CdTc4Ir: optimized geometry, PBE.

Lattice parameters (Å, degrees): 5.1413 5.1413 5.1413 60.00 60.00 60.00
Positions (direct):
Ir: 0.0000 0.0000 0.0000
Tc: 0.3750 0.8750 0.3750
Tc: 0.3750 0.3750 0.8750
Tc: 0.3750 0.3750 0.3750
Tc: 0.8750 0.3750 0.3750
Cd: 0.7500 0.7500 0.7500

Values from the calculation:
The raw total energy is -8.09 eV/atom. The magnetization comes out at 0.00 μB per formula unit.

=====

Entry 9:
Cd3TcIr: optimized geometry, PBE.

Lattice parameters (Å, degrees): 5.1267 5.1267 5.1267 90.00 90.00 90.00
Positions (direct):
Ir: 0.0000 0.0000 0.0000
Cd: 0.0000 0.0000 0.5000
Cd: 0.0000 0.5000 0.0000
Cd: 0.5000 0.0000 0.0000
Tc: 0.5000 0.5000 0.5000

Values from the calculation:
As for the energy above the most stable polymorph in this dataset: 0.000 eV per atom. The magnetization comes out at 4.27 μB per formula unit.

=====

Entry 10:
CdTc2Ir2: optimized geometry, PBE.

Lattice parameters (Å, degrees): 7.6875 7.6875 2.7498 90.00 90.00 90.00
Positions (direct):
Ir: 0.8776 0.6224 0.0000
Ir: 0.3776 0.8776 0.0000
Ir: 0.6224 0.1224 0.0000
Ir: 0.1224 0.3776 0.0000
Cd: 0.5000 0.5000 0.0000
Cd: 0.0000 0.0000 0.0000
Tc: 0.8288 0.3288 0.5000
Tc: 0.1712 0.6712 0.5000
Tc: 0.3288 0.1712 0.5000
Tc: 0.6712 0.8288 0.5000

Values from the calculation:
As for the energy above the most stable polymorph in this dataset: 0.000 eV per atom. The magnetization comes out at 0.00 μB per formula unit.

=====

Entry 11:
CdTcIr4: optimized geometry, PBE.

Lattice parameters (Å, degrees): 5.1954 5.1954 5.1954 60.00 60.00 60.00
Positions (direct):
Ir: 0.1250 0.6250 0.6250
Ir: 0.6250 0.6250 0.6250
Ir: 0.6250 0.6250 0.1250
Ir: 0.6250 0.1250 0.6250
Cd: 0.0000 0.0000 0.0000
Tc: 0.2500 0.2500 0.2500

Values from the calculation:
The raw total energy is -7.34 eV/atom. The magnetization comes out at 2.07 μB per formula unit.

=====

Entry 12:
Cd2TcIr: optimized geometry, PBE.

Lattice parameters (Å, degrees): 2.8080 2.8080 9.4999 90.00 90.00 114.23
Positions (direct):
Ir: 0.5000 0.5000 0.2500
Cd: 0.0000 0.0000 0.0028
Cd: 0.0000 0.0000 0.4972
Tc: 0.5000 0.5000 0.7500

Values from the calculation:
As for the energy above the most stable polymorph in this dataset: 0.394 eV per atom. The magnetization comes out at 0.00 μB per formula unit.

=====

Entry 13:
CdTcIr: optimized geometry, PBE.

Lattice parameters (Å, degrees): 5.4103 5.4103 5.4103 149.88 140.35 50.58
Positions (direct):
Tc: 0.6905 0.6905 0.0000
Cd: 0.9982 0.9982 0.0000
Ir: 0.3113 0.3113 0.0000

Values from the calculation:
As for the energy above the most stable polymorph in this dataset: 0.163 eV per atom. The magnetization comes out at 0.00 μB per formula unit.

=====

Entry 14:
Cd2Tc2Ir: optimized geometry, PBE.

Lattice parameters (Å, degrees): 6.4236 6.4236 4.5206 90.00 90.00 90.00
Positions (direct):
Tc: 0.3744 0.8744 0.0000
Tc: 0.6256 0.1256 0.0000
Tc: 0.1256 0.3744 0.0000
Tc: 0.8744 0.6256 0.0000
Cd: 0.1798 0.6798 0.5000
Cd: 0.3202 0.1798 0.5000
Cd: 0.6798 0.8202 0.5000
Cd: 0.8202 0.3202 0.5000
Ir: 0.0000 0.0000 0.0000
Ir: 0.5000 0.5000 0.0000

Values from the calculation:
As for the energy above the most stable polymorph in this dataset: 0.000 eV per atom. The magnetization comes out at 0.00 μB per formula unit.

=====

Entry 15:
Cd2TcIr: optimized geometry, PBE.

Lattice parameters (Å, degrees): 5.0086 5.0086 5.0152 80.71 80.71 33.14
Positions (direct):
Ir: 0.7500 0.7500 0.7500
Tc: 0.2500 0.2500 0.2500
Cd: 0.4982 0.4982 0.5012
Cd: 0.0018 0.0018 0.9988

Values from the calculation:
As for the energy above the most stable polymorph in this dataset: 0.334 eV per atom. The magnetization comes out at 0.25 μB per formula unit.

=====

Entry 16:
Cd2TcIr: optimized geometry, PBE.

Lattice parameters (Å, degrees): 5.1900 5.1900 2.8340 90.00 90.00 115.67
Positions (direct):
Ir: 0.5000 0.0000 0.5000
Cd: 0.5000 0.5000 0.0000
Cd: 0.0000 0.0000 0.0000
Tc: 0.0000 0.5000 0.5000

Values from the calculation:
As for the energy above the most stable polymorph in this dataset: 0.459 eV per atom. The magnetization comes out at 0.66 μB per formula unit.

=====

Entry 17:
Cd2TcIr: optimized geometry, PBE.

Lattice parameters (Å, degrees): 3.2038 3.2038 6.7610 90.00 90.00 90.00
Positions (direct):
Cd: 0.0000 0.0000 0.0078
Cd: 0.0000 0.0000 0.4922
Ir: 0.5000 0.5000 0.2500
Tc: 0.5000 0.5000 0.7500

Values from the calculation:
As for the energy above the most stable polymorph in this dataset: 0.515 eV per atom. The magnetization comes out at 2.09 μB per formula unit.

=====

Entry 18:
Cd2TcIr: optimized geometry, PBE.

Lattice parameters (Å, degrees): 2.9224 4.8398 4.8640 90.00 90.00 90.00
Positions (direct):
Tc: 0.0000 0.5000 0.5000
Cd: 0.0000 0.0000 0.0000
Cd: 0.5000 0.5000 0.0000
Ir: 0.5000 0.0000 0.5000

Values from the calculation:
As for the energy above the most stable polymorph in this dataset: 0.376 eV per atom. The magnetization comes out at 1.08 μB per formula unit.

=====

Entry 19:
Cd2TcIr: optimized geometry, PBE.

Lattice parameters (Å, degrees): 2.8796 2.8797 8.4517 90.00 90.00 90.00
Positions (direct):
Cd: 0.5000 0.5000 0.2750
Cd: 0.0000 0.0000 0.9759
Tc: 0.5000 0.5000 0.7213
Ir: 0.0000 0.0000 0.5278

Values from the calculation:
As for the energy above the most stable polymorph in this dataset: 0.000 eV per atom. The magnetization comes out at 0.00 μB per formula unit.

=====

Entry 20:
Cd2TcIr: optimized geometry, PBE.

Lattice parameters (Å, degrees): 4.8432 4.8432 5.2383 81.84 81.84 34.46
Positions (direct):
Tc: 0.2426 0.2426 0.2869
Cd: 0.9963 0.9963 0.9941
Cd: 0.7545 0.7545 0.7568
Ir: 0.5066 0.5066 0.4622

Values from the calculation:
As for the energy above the most stable polymorph in this dataset: 0.255 eV per atom. The magnetization comes out at 0.00 μB per formula unit.

=====

Entry 21:
Cd2TcIr: optimized geometry, PBE.

Lattice parameters (Å, degrees): 10.0196 10.0196 10.0196 16.43 16.43 16.43
Positions (direct):
Cd: 0.0072 0.0072 0.0072
Cd: 0.2427 0.2427 0.2427
Ir: 0.4923 0.4923 0.4923
Tc: 0.7577 0.7577 0.7577

Values from the calculation:
As for the energy above the most stable polymorph in this dataset: 0.092 eV per atom. The magnetization comes out at 0.00 μB per formula unit.

=====

Entry 22:
Cd2TcIr: optimized geometry, PBE.

Lattice parameters (Å, degrees): 2.8856 4.2908 5.5832 90.00 90.00 90.00
Positions (direct):
Cd: 0.0000 0.0000 0.4980
Cd: 0.0000 0.0000 0.0020
Ir: 0.5000 0.5000 0.2500
Tc: 0.5000 0.5000 0.7500

Values from the calculation:
As for the energy above the most stable polymorph in this dataset: 0.451 eV per atom. The magnetization comes out at 1.61 μB per formula unit.

=====

Entry 23:
Cd2TcIr: optimized geometry, PBE.

Lattice parameters (Å, degrees): 9.6011 9.6011 9.6011 17.25 17.25 17.25
Positions (direct):
Tc: 0.7500 0.7500 0.7500
Ir: 0.2500 0.2500 0.2500
Cd: 0.9991 0.9991 0.9991
Cd: 0.5009 0.5009 0.5009

Values from the calculation:
As for the energy above the most stable polymorph in this dataset: 0.362 eV per atom. The magnetization comes out at 0.07 μB per formula unit.

=====

Entry 24:
Cd2TcIr: optimized geometry, PBE.

Lattice parameters (Å, degrees): 4.0152 4.0152 4.3204 90.00 90.00 90.00
Positions (direct):
Cd: 0.5000 0.5000 0.0000
Cd: 0.0000 0.0000 0.0000
Tc: 0.0000 0.5000 0.5000
Ir: 0.5000 0.0000 0.5000

Values from the calculation:
As for the energy above the most stable polymorph in this dataset: 0.426 eV per atom. The magnetization comes out at 2.41 μB per formula unit.

=====

Entry 25:
Cd2TcIr: optimized geometry, PBE.

Lattice parameters (Å, degrees): 4.6134 4.6134 4.6134 60.00 60.00 60.00
Positions (direct):
Cd: 0.7500 0.7500 0.7500
Cd: 0.2500 0.2500 0.2500
Ir: 0.5000 0.5000 0.5000
Tc: 0.0000 0.0000 0.0000

Values from the calculation:
As for the energy above the most stable polymorph in this dataset: 0.488 eV per atom. The magnetization comes out at 2.55 μB per formula unit.

=====

Entry 26:
Cd2Tc2Ir: optimized geometry, PBE.

Lattice parameters (Å, degrees): 3.6299 3.6299 7.5146 76.02 76.02 90.00
Positions (direct):
Cd: 0.2500 0.7500 0.5000
Cd: 0.7500 0.2500 0.5000
Tc: 0.4186 0.4186 0.1629
Tc: 0.5814 0.5814 0.8371
Ir: 0.0000 0.0000 0.0000

Values from the calculation:
As for the energy above the most stable polymorph in this dataset: 0.464 eV per atom. The magnetization comes out at 0.00 μB per formula unit.

=====

Entry 27:
CdTc3Ir: optimized geometry, PBE.

Lattice parameters (Å, degrees): 4.7289 4.7289 4.7289 90.00 90.00 90.00
Positions (direct):
Ir: 0.0000 0.0000 0.0000
Cd: 0.5000 0.5000 0.5000
Tc: 0.0000 0.5000 0.0000
Tc: 0.5000 0.0000 0.0000
Tc: 0.0000 0.0000 0.5000

Values from the calculation:
As for the energy above the most stable polymorph in this dataset: 0.000 eV per atom. The magnetization comes out at 1.78 μB per formula unit.

=====

no.,volume (Å³/cell)
1,468.6
2,537.1
3,311.1
4,254.8
5,77.9
6,84.8
7,68.8
8,96.1
9,134.7
10,162.5
11,99.2
12,68.3
13,50.5
14,186.5
15,67.8
16,68.8
17,69.4
18,68.8
19,70.1
20,68.7
21,70.1
22,69.1
23,67.9
24,69.7
25,69.4
26,93.1
27,105.8